1.
PrGa6Ni4 | PBE | optimized geometry

Unit cell a=6.9887 b=6.9887 c=3.9927 alpha=90.00 beta=90.00 gamma=120.00
Space group P-6m2 (No. 187)
Unique sites:
Pr  0.0000  0.0000  0.0000 x1
Ga  0.1988  0.3976  0.5000 x3
Ga  0.5345  0.0691  0.0000 x3
Ni  0.3333  0.6667  0.0000 x1
Ni  0.4213  0.2106  0.5000 x3

## Properties
crystal system: hexagonal
mass density: 7.81 g cm⁻³
raw total energy: -4.66 eV per atom


2.
Pr11Ga9Ni4 | PBE | optimized geometry

Unit cell a=14.2263 b=21.3750 c=3.7462 alpha=90.00 beta=90.00 gamma=90.00
Space group Cmmm (No. 65)
Unique sites:
Pr  0.0000  0.0000  0.0000 x2
Pr  0.0000  0.1678  0.0000 x4
Pr  0.0000  0.3737  0.0000 x4
Pr  0.1907  0.5000  0.0000 x4
Pr  0.2409  0.1719  0.0000 x8
Ga  0.0000  0.5000  0.5000 x2
Ga  0.1004  0.2696  0.5000 x8
Ga  0.1518  0.0686  0.5000 x8
Ni  0.1564  0.3982  0.5000 x8

## Properties
crystal system: orthorhombic
mass density: 7.03 g cm⁻³
raw total energy: -4.79 eV per atom


3.
PrGa2Ni2Pt | PBE | optimized geometry

Unit cell a=4.7072 b=4.7072 c=5.4923 alpha=90.00 beta=90.00 gamma=90.00
Space group P4/mmm (No. 123)
Unique sites:
Pr  0.0000  0.0000  0.0000 x1
Ga  0.0000  0.5000  0.5000 x2
Ni  0.5000  0.5000  0.2401 x2
Pt  0.0000  0.0000  0.5000 x1

## Properties
crystal system: tetragonal
mass density: 8.09 g cm⁻³
raw total energy: -4.87 eV per atom


4.
Pr2GaNi2Pt5 | PBE | optimized geometry

Unit cell a=9.3996 b=9.3996 c=3.9772 alpha=90.00 beta=90.00 gamma=90.00
Space group P4/mbm (No. 127)
Unique sites:
Pr  0.1761  0.3239  0.0000 x4
Ga  0.0000  0.0000  0.0000 x2
Ni  0.1223  0.6223  0.0000 x4
Pt  0.0000  0.5000  0.5000 x2
Pt  0.0658  0.7934  0.5000 x8

## Properties
crystal system: tetragonal
mass density: 13.65 g cm⁻³
raw total energy: -6.19 eV per atom


5.
Pr2GaNiPt6 | PBE | optimized geometry

Unit cell a=12.1024 b=5.4319 c=8.4836 alpha=90.00 beta=133.81 gamma=90.00
Space group C2/m (No. 12)
Unique sites:
Pr  0.2429  0.0000  0.2057 x4
Ga  0.0000  0.0000  0.5000 x2
Ni  0.0000  0.5000  0.0000 x2
Pt  0.0064  0.2510  0.7579 x8
Pt  0.2488  0.5000  0.4018 x4

## Properties
crystal system: monoclinic
mass density: 13.04 g cm⁻³
raw total energy: -6.19 eV per atom


6.
PrGaNi2Pt2 | PBE | optimized geometry

Unit cell a=4.6740 b=4.6740 c=5.4779 alpha=90.00 beta=90.00 gamma=90.00
Space group P4/mmm (No. 123)
Unique sites:
Pr  0.0000  0.0000  0.0000 x1
Ga  0.0000  0.0000  0.5000 x1
Ni  0.5000  0.5000  0.2669 x2
Pt  0.0000  0.5000  0.5000 x2

## Properties
crystal system: tetragonal
mass density: 9.97 g cm⁻³
raw total energy: -5.20 eV per atom


7.
Pr2Ga3NiPt4 | PBE | optimized geometry

Unit cell a=4.1793 b=4.1793 c=10.9024 alpha=90.00 beta=90.00 gamma=90.00
Space group P-4m2 (No. 115)
Unique sites:
Pr  0.0000  0.5000  0.2398 x2
Ga  0.0000  0.0000  0.0000 x1
Ga  0.0000  0.5000  0.6341 x2
Ni  0.5000  0.5000  0.0000 x1
Pt  0.0000  0.0000  0.5000 x1
Pt  0.0000  0.5000  0.8638 x2
Pt  0.5000  0.5000  0.5000 x1

## Properties
crystal system: tetragonal
mass density: 11.60 g cm⁻³
raw total energy: -5.73 eV per atom


8.
PrGa2NiPt2 | PBE | optimized geometry

Unit cell a=3.9906 b=3.9906 c=15.4219 alpha=90.00 beta=90.00 gamma=90.00
Space group I4/mmm (No. 139)
Unique sites:
Pr  0.0000  0.0000  0.0000 x2
Ga  0.0000  0.0000  0.3509 x4
Ni  0.0000  0.0000  0.5000 x2
Pt  0.0000  0.5000  0.2500 x4

## Properties
crystal system: tetragonal
mass density: 9.86 g cm⁻³
raw total energy: -5.30 eV per atom


9.
Pr2PuGa3Ni4 | PBE | optimized geometry

Unit cell a=4.2965 b=4.2965 c=10.0726 alpha=90.00 beta=90.00 gamma=90.00
Space group P-4m2 (No. 115)
Unique sites:
Pr  0.0000  0.5000  0.2295 x2
Pu  0.0000  0.0000  0.5000 x1
Ga  0.0000  0.5000  0.8859 x2
Ga  0.5000  0.5000  0.5000 x1
Ni  0.0000  0.0000  0.0000 x1
Ni  0.0000  0.5000  0.6474 x2
Ni  0.5000  0.5000  0.0000 x1

## Properties
crystal system: tetragonal
mass density: 8.66 g cm⁻³
raw total energy: -6.05 eV per atom


10.
PrGa5Ni2Rh | PBE | optimized geometry

Unit cell a=4.6528 b=4.6528 c=7.1301 alpha=90.00 beta=90.00 gamma=90.00
Space group P4/mmm (No. 123)
Unique sites:
Pr  0.0000  0.0000  0.0000 x1
Ga  0.0000  0.5000  0.3120 x4
Ga  0.5000  0.5000  0.0000 x1
Ni  0.5000  0.5000  0.3215 x2
Rh  0.0000  0.0000  0.5000 x1

## Properties
crystal system: tetragonal
mass density: 7.64 g cm⁻³
raw total energy: -4.68 eV per atom


11.
PrGa2Ni2Rh | PBE | optimized geometry

Unit cell a=4.6634 b=4.6634 c=5.3510 alpha=90.00 beta=90.00 gamma=90.00
Space group P4/mmm (No. 123)
Unique sites:
Pr  0.0000  0.0000  0.0000 x1
Ga  0.0000  0.5000  0.5000 x2
Ni  0.5000  0.5000  0.2533 x2
Rh  0.0000  0.0000  0.5000 x1

## Properties
crystal system: tetragonal
mass density: 7.14 g cm⁻³
raw total energy: -5.11 eV per atom


12.
Pr2Ga2NiRh5 | PBE | optimized geometry

Unit cell a=9.9255 b=9.9255 c=3.5508 alpha=90.00 beta=90.00 gamma=90.00
Space group P4/mbm (No. 127)
Unique sites:
Pr  0.1758  0.3242  0.0000 x4
Ga  0.1244  0.6244  0.0000 x4
Ni  0.0000  0.0000  0.0000 x2
Rh  0.0000  0.5000  0.5000 x2
Rh  0.0610  0.7991  0.5000 x8

## Properties
crystal system: tetragonal
mass density: 9.44 g cm⁻³
raw total energy: -6.29 eV per atom